Compound: Ta3BAu
Source: Alexandria via LeMat-Bulk
Functional: PBE
Structure: relaxed

Calculated formation energy ... -0.082 eV per atom
Total magnetic moment ... 0.00 μB/f.u.
ΔE to the lowest computed polymorph ... 0.00 eV/f.u.

Cell: 4.347 4.347 4.347 Å, 90.00 90.00 90.00°
Element x y z (fractional)
B 0.000 0.000 0.000
Au 0.500 0.500 0.500
Ta 0.000 0.500 0.000
Ta 0.000 0.000 0.500
Ta 0.500 0.000 0.000